Entry 1:
Compound: La2BeBiPt
Source: the Alexandria database
Functional: PBE
Structure: relaxed

a = 6.1095 Å, b = 6.1095 Å, c = 5.0379 Å
α = 90.00°, β = 90.00°, γ = 90.00°
With the nearest neighbours (Å) after each atom.
Atoms (fractional coordinates):
La1 0.0000 0.5000 0.0000  2 Bi 3.05
La2 0.5000 0.0000 0.0000  2 Bi 3.05
Be1 0.0000 0.0000 0.5000  8 La 3.96, 4 Pt 4.32
Bi1 0.5000 0.5000 0.0000  2 Pt 2.52
Pt1 0.5000 0.5000 0.5000  2 Bi 2.52

Computed properties:
* calculated volume: 188 Å³ per cell
* symmetry: P4/mmm (123)
* uncorrected energy: -20.392 eV for the cell shown

Entry 2:
Compound: Rb2LaBeBi
Source: the Alexandria database
Functional: PBE
Structure: relaxed

a = 7.0583 Å, b = 7.0583 Å, c = 6.2471 Å
α = 90.00°, β = 90.00°, γ = 90.00°
With the nearest neighbours (Å) after each atom.
Atoms (fractional coordinates):
Rb1 0.0000 0.5000 0.0000  2 Bi 3.53
Rb2 0.5000 0.0000 0.0000  2 Bi 3.53
La1 0.0000 0.0000 0.5000  2 Bi 3.12
Be1 0.5000 0.5000 0.5000  8 Rb 4.71, 4 La 4.99
Bi1 0.0000 0.0000 0.0000  2 La 3.12

Computed properties:
* calculated volume: 311 Å³ per cell
* symmetry: P4/mmm (123)
* uncorrected energy: -11.417 eV for the cell shown

Entry 3:
Compound: La3BeBiS7
Source: the Alexandria database
Functional: PBE
Structure: relaxed

a = 10.2835 Å, b = 10.2835 Å, c = 6.3952 Å
α = 90.00°, β = 90.00°, γ = 120.00°
With the nearest neighbours (Å) after each atom.
Atoms (fractional coordinates):
La1 0.1416 0.3995 0.0000  6 S 2.79-3.11
La2 0.2579 0.8584 0.0000  6 S 2.79-3.11
La3 0.3995 0.2579 0.5000  6 S 2.79-3.11
La4 0.6005 0.7421 0.0000  6 S 2.79-3.11
La5 0.7421 0.1416 0.5000  6 S 2.79-3.11
La6 0.8584 0.6005 0.5000  6 S 2.79-3.11
Be1 0.3333 0.6667 0.4099  4 S 2.14-2.22
Be2 0.6667 0.3333 0.9099  4 S 2.14-2.22
Bi1 0.0000 0.0000 0.2882  6 S 2.71-2.90
Bi2 0.0000 0.0000 0.7882  6 S 2.71-2.90
S1 0.0990 0.2563 0.5647  2 Bi 2.71-2.90
S2 0.1159 0.5945 0.2789  1 Be 2.14
S3 0.1572 0.9010 0.5647  2 Bi 2.71-2.90
S4 0.2563 0.1572 0.0647  2 Bi 2.71-2.90
S5 0.3333 0.6667 0.7566  1 Be 2.22
S6 0.4055 0.5214 0.2789  1 Be 2.14
S7 0.4786 0.8841 0.2789  1 Be 2.14
S8 0.5214 0.1159 0.7789  1 Be 2.14
S9 0.5945 0.4786 0.7789  1 Be 2.14
S10 0.6667 0.3333 0.2566  1 Be 2.22
S11 0.7437 0.8428 0.5647  2 Bi 2.71-2.90
S12 0.8428 0.0990 0.0647  2 Bi 2.71-2.90
S13 0.8841 0.4055 0.7789  1 Be 2.14
S14 0.9010 0.7437 0.0647  2 Bi 2.71-2.90

Computed properties:
* calculated volume: 586 Å³ per cell
* symmetry: P6_3 (173)
* uncorrected energy: -138.976 eV for the cell shown

Entry 4:
Compound: LaBeTc2Bi
Source: the Alexandria database
Functional: PBE
Structure: relaxed

a = 5.1509 Å, b = 5.1509 Å, c = 4.5414 Å
α = 90.00°, β = 90.00°, γ = 90.00°
With the nearest neighbours (Å) after each atom.
Atoms (fractional coordinates):
La1 0.0000 0.0000 0.0000  8 Tc 3.43, 4 Be 3.64
Be1 0.5000 0.5000 0.0000  2 Bi 2.27
Tc1 0.0000 0.5000 0.5000  2 Bi 2.58
Tc2 0.5000 0.0000 0.5000  2 Bi 2.58
Bi1 0.5000 0.5000 0.5000  2 Be 2.27

Computed properties:
* calculated volume: 120 Å³ per cell
* symmetry: P4/mmm (123)
* uncorrected energy: -27.029 eV for the cell shown

Entry 5:
Compound: Li2BeBi2
Source: the Alexandria database
Functional: PBE
Structure: relaxed

a = 7.0837 Å, b = 7.0837 Å, c = 4.6923 Å
α = 90.00°, β = 90.00°, γ = 90.00°
With the nearest neighbours (Å) after each atom.
Atoms (fractional coordinates):
Li1 0.1555 0.3445 0.0000  6 Bi 3.00-3.23, 1 Li 3.12
Li2 0.3445 0.8445 0.0000  6 Bi 3.00-3.23, 1 Li 3.12
Li3 0.6555 0.1555 0.0000  6 Bi 3.00-3.23, 1 Li 3.12
Li4 0.8445 0.6555 0.0000  6 Bi 3.00-3.23, 1 Li 3.12
Be1 0.0000 0.0000 0.5000  4 Bi 2.67
Be2 0.5000 0.5000 0.5000  4 Bi 2.67
Bi1 0.1578 0.6578 0.5000  2 Be 2.67
Bi2 0.3422 0.1578 0.5000  2 Be 2.67
Bi3 0.6578 0.8422 0.5000  2 Be 2.67
Bi4 0.8422 0.3422 0.5000  2 Be 2.67

Computed properties:
* calculated volume: 235 Å³ per cell
* symmetry: P4/mbm (127)
* uncorrected energy: -30.635 eV for the cell shown

Entry 6:
Compound: LiBe3Bi
Source: the Alexandria database
Functional: PBE
Structure: relaxed

a = 4.9592 Å, b = 4.9592 Å, c = 4.9592 Å
α = 90.00°, β = 90.00°, γ = 90.00°
With the nearest neighbours (Å) after each atom.
Atoms (fractional coordinates):
Li1 0.0000 0.0000 0.0000  12 Be 3.51
Be1 0.0000 0.5000 0.5000  2 Bi 2.48
Be2 0.5000 0.0000 0.5000  2 Bi 2.48
Be3 0.5000 0.5000 0.0000  2 Bi 2.48
Bi1 0.5000 0.5000 0.5000  6 Be 2.48

Computed properties:
* calculated volume: 122 Å³ per cell
* symmetry: Pm-3m (221)
* uncorrected energy: -10.175 eV for the cell shown

Entry 7:
Compound: Li3BeBi
Source: the Alexandria database
Functional: PBE
Structure: relaxed

a = 5.3066 Å, b = 5.3066 Å, c = 5.3066 Å
α = 90.00°, β = 90.00°, γ = 90.00°
With the nearest neighbours (Å) after each atom.
Atoms (fractional coordinates):
Li1 0.0000 0.0000 0.5000  2 Bi 2.65
Li2 0.0000 0.5000 0.0000  2 Bi 2.65
Li3 0.5000 0.0000 0.0000  2 Bi 2.65
Be1 0.5000 0.5000 0.5000  12 Li 3.75
Bi1 0.0000 0.0000 0.0000  6 Li 2.65

Computed properties:
* calculated volume: 149 Å³ per cell
* symmetry: Pm-3m (221)
* uncorrected energy: -11.316 eV for the cell shown

Entry 8:
Compound: LiBeBi3
Source: the Alexandria database
Functional: PBE
Structure: relaxed

a = 5.2008 Å, b = 5.2008 Å, c = 5.2008 Å
α = 90.00°, β = 90.00°, γ = 90.00°
With the nearest neighbours (Å) after each atom.
Atoms (fractional coordinates):
Li1 0.0000 0.0000 0.0000  12 Bi 3.68
Be1 0.5000 0.5000 0.5000  6 Bi 2.60
Bi1 0.0000 0.5000 0.5000  2 Be 2.60
Bi2 0.5000 0.0000 0.5000  2 Be 2.60
Bi3 0.5000 0.5000 0.0000  2 Be 2.60

Computed properties:
* calculated volume: 141 Å³ per cell
* symmetry: Pm-3m (221)
* uncorrected energy: -15.712 eV for the cell shown

Entry 9:
Compound: LiBeBi3
Source: the Alexandria database
Functional: PBE
Structure: relaxed

a = 5.1345 Å, b = 5.1345 Å, c = 5.1345 Å
α = 90.00°, β = 90.00°, γ = 90.00°
With the nearest neighbours (Å) after each atom.
Atoms (fractional coordinates):
Li1 0.0000 0.0000 0.0000  6 Bi 2.57
Be1 0.5000 0.5000 0.5000  12 Bi 3.63
Bi1 0.0000 0.0000 0.5000  2 Li 2.57
Bi2 0.0000 0.5000 0.0000  2 Li 2.57
Bi3 0.5000 0.0000 0.0000  2 Li 2.57

Computed properties:
* calculated volume: 135 Å³ per cell
* symmetry: Pm-3m (221)
* uncorrected energy: -13.753 eV for the cell shown

Entry 10:
Compound: LiBe3Bi
Source: the Alexandria database
Functional: PBE
Structure: relaxed

a = 4.2286 Å, b = 4.2286 Å, c = 4.2286 Å
α = 90.00°, β = 90.00°, γ = 90.00°
With the nearest neighbours (Å) after each atom.
Atoms (fractional coordinates):
Li1 0.0000 0.0000 0.0000  6 Be 2.11
Be1 0.0000 0.0000 0.5000  2 Li 2.11
Be2 0.0000 0.5000 0.0000  2 Li 2.11
Be3 0.5000 0.0000 0.0000  2 Li 2.11
Bi1 0.5000 0.5000 0.5000  12 Be 2.99

Computed properties:
* calculated volume: 76 Å³ per cell
* symmetry: Pm-3m (221)
* uncorrected energy: -12.107 eV for the cell shown

Entry 11:
Compound: Li2BeBi
Source: the Alexandria database
Functional: PBE
Structure: relaxed

a = 6.0681 Å, b = 6.0681 Å, c = 6.0681 Å
α = 100.90°, β = 100.90°, γ = 128.44°
With the nearest neighbours (Å) after each atom.
Atoms (fractional coordinates):
Li1 0.0830 0.6250 0.9580  2 Be 2.60, 2 Li 2.72
Li2 0.3750 0.3330 0.4580  2 Be 2.60, 2 Li 2.72
Li3 0.6670 0.1250 0.0420  2 Be 2.60, 2 Li 2.72
Li4 0.8750 0.9170 0.5420  2 Be 2.60, 2 Li 2.72
Be1 0.0000 0.0000 0.0000  4 Li 2.60, 2 Bi 2.64
Be2 0.7500 0.2500 0.5000  4 Li 2.60, 2 Bi 2.64
Bi1 0.2500 0.7500 0.5000  2 Be 2.64
Bi2 0.5000 0.5000 0.0000  2 Be 2.64

Computed properties:
* calculated volume: 158 Å³ per cell
* symmetry: I-42d (122)
* uncorrected energy: -20.858 eV for the cell shown

Entry 12:
Compound: Li2BeBi
Source: the Alexandria database
Functional: PBE
Structure: relaxed

a = 4.6103 Å, b = 4.6103 Å, c = 4.6103 Å
α = 60.00°, β = 60.00°, γ = 60.00°
With the nearest neighbours (Å) after each atom.
Atoms (fractional coordinates):
Li1 0.2500 0.2500 0.2500  4 Bi 2.82, 4 Be 2.82
Li2 0.7500 0.7500 0.7500  4 Bi 2.82, 4 Be 2.82
Be1 0.0000 0.0000 0.0000  8 Li 2.82
Bi1 0.5000 0.5000 0.5000  8 Li 2.82

Computed properties:
* calculated volume: 69 Å³ per cell
* symmetry: Fm-3m (225)
* uncorrected energy: -11.224 eV for the cell shown

Entry 13:
Compound: LiBeBi2
Source: the Alexandria database
Functional: PBE
Structure: relaxed

a = 6.5005 Å, b = 6.5005 Å, c = 6.5005 Å
α = 101.94°, β = 101.94°, γ = 125.89°
With the nearest neighbours (Å) after each atom.
Atoms (fractional coordinates):
Li1 0.0000 0.0000 0.0000  2 Be 2.96
Li2 0.7500 0.2500 0.5000  2 Be 2.96
Be1 0.2500 0.7500 0.5000  4 Bi 2.59
Be2 0.5000 0.5000 0.0000  4 Bi 2.59
Bi1 0.2039 0.1250 0.5789  2 Be 2.59
Bi2 0.3750 0.7961 0.9211  2 Be 2.59
Bi3 0.5461 0.6250 0.4211  2 Be 2.59
Bi4 0.8750 0.4539 0.0789  2 Be 2.59

Computed properties:
* calculated volume: 198 Å³ per cell
* symmetry: I-42d (122)
* uncorrected energy: -25.800 eV for the cell shown

Entry 14:
Compound: Li3BeBi
Source: the Alexandria database
Functional: PBE
Structure: relaxed

a = 4.5684 Å, b = 4.5684 Å, c = 4.5684 Å
α = 90.00°, β = 90.00°, γ = 90.00°
With the nearest neighbours (Å) after each atom.
Atoms (fractional coordinates):
Li1 0.0000 0.0000 0.5000  2 Be 2.28
Li2 0.0000 0.5000 0.0000  2 Be 2.28
Li3 0.5000 0.0000 0.0000  2 Be 2.28
Be1 0.0000 0.0000 0.0000  6 Li 2.28
Bi1 0.5000 0.5000 0.5000  12 Li 3.23

Computed properties:
* calculated volume: 95 Å³ per cell
* symmetry: Pm-3m (221)
* uncorrected energy: -12.186 eV for the cell shown

Entry 15:
Compound: LiMgBeBi2
Source: the Alexandria database
Functional: PBE
Structure: relaxed

a = 5.5481 Å, b = 5.5481 Å, c = 4.7774 Å
α = 90.00°, β = 90.00°, γ = 90.00°
With the nearest neighbours (Å) after each atom.
Atoms (fractional coordinates):
Li1 0.0000 0.0000 0.0000  8 Bi 3.66, 4 Be 3.92
Mg1 0.5000 0.5000 0.5000  2 Be 2.39
Be1 0.5000 0.5000 0.0000  2 Mg 2.39
Bi1 0.0000 0.5000 0.5000  2 Mg 2.77
Bi2 0.5000 0.0000 0.5000  2 Mg 2.77

Computed properties:
* calculated volume: 147 Å³ per cell
* symmetry: P4/mmm (123)
* uncorrected energy: -11.878 eV for the cell shown

Entry 16:
Compound: LiBeBiMo2
Source: the Alexandria database
Functional: PBE
Structure: relaxed

a = 4.3461 Å, b = 4.3461 Å, c = 4.4859 Å
α = 90.00°, β = 90.00°, γ = 90.00°
With the nearest neighbours (Å) after each atom.
Atoms (fractional coordinates):
Li1 0.0000 0.0000 0.0000  4 Mo 2.17, 2 Bi 2.24
Be1 0.5000 0.5000 0.5000  4 Bi 3.07, 8 Mo 3.12
Bi1 0.0000 0.0000 0.5000  2 Li 2.24
Mo1 0.0000 0.5000 0.0000  2 Li 2.17
Mo2 0.5000 0.0000 0.0000  2 Li 2.17

Computed properties:
* calculated volume: 85 Å³ per cell
* symmetry: P4/mmm (123)
* uncorrected energy: -23.696 eV for the cell shown

Entry 17:
Compound: Li2BeBiO4
Source: the Alexandria database
Functional: PBE
Structure: relaxed

a = 5.3941 Å, b = 5.3941 Å, c = 5.3941 Å
α = 128.99°, β = 128.99°, γ = 75.03°
With the nearest neighbours (Å) after each atom.
Atoms (fractional coordinates):
Li1 0.0000 0.0000 0.0000  4 O 1.99
Li2 0.7500 0.2500 0.5000  4 O 2.08
Be1 0.2500 0.7500 0.5000  4 O 1.68
Bi1 0.5000 0.5000 0.0000  4 O 2.16
O1 0.1232 0.6563 0.0695  1 Be 1.68
O2 0.3437 0.4133 0.4670  1 Be 1.68
O3 0.5867 0.0537 0.9305  1 Be 1.68
O4 0.9463 0.8768 0.5330  1 Be 1.68

Computed properties:
* calculated volume: 92 Å³ per cell
* symmetry: I-4 (82)
* uncorrected energy: -45.026 eV for the cell shown

Entry 18:
Compound: Li2Be2BiO6
Source: the Alexandria database
Functional: PBE
Structure: relaxed

a = 5.1184 Å, b = 5.1184 Å, c = 6.0020 Å
α = 90.00°, β = 90.00°, γ = 120.00°
With the nearest neighbours (Å) after each atom.
Atoms (fractional coordinates):
Li1 0.3333 0.6667 0.3045  3 O 1.92
Li2 0.6667 0.3333 0.6955  3 O 1.92
Be1 0.3333 0.6667 0.8117  3 O 1.55
Be2 0.6667 0.3333 0.1883  3 O 1.55
Bi1 0.0000 0.0000 0.0000  6 O 2.15
O1 0.0357 0.6752 0.7954  1 Be 1.55
O2 0.3248 0.3605 0.7954  1 Be 1.55
O3 0.3605 0.0357 0.2046  1 Be 1.55
O4 0.6395 0.9643 0.7954  1 Be 1.55
O5 0.6752 0.6395 0.2046  1 Be 1.55
O6 0.9643 0.3248 0.2046  1 Be 1.55

Computed properties:
* calculated volume: 136 Å³ per cell
* symmetry: P-3 (147)
* uncorrected energy: -62.499 eV for the cell shown

Entry 19:
Compound: Li2BeBiPd
Source: the Alexandria database
Functional: PBE
Structure: relaxed

a = 4.4985 Å, b = 4.4985 Å, c = 4.6165 Å
α = 90.00°, β = 90.00°, γ = 90.00°
With the nearest neighbours (Å) after each atom.
Atoms (fractional coordinates):
Li1 0.0000 0.5000 0.0000  2 Be 2.25
Li2 0.5000 0.0000 0.0000  2 Be 2.25
Be1 0.0000 0.0000 0.0000  4 Li 2.25, 2 Bi 2.31
Bi1 0.0000 0.0000 0.5000  2 Be 2.31
Pd1 0.5000 0.5000 0.5000  4 Bi 3.18, 8 Li 3.22

Computed properties:
* calculated volume: 93 Å³ per cell
* symmetry: P4/mmm (123)
* uncorrected energy: -15.054 eV for the cell shown

Entry 20:
Compound: LiBe2BiRh
Source: the Alexandria database
Functional: PBE
Structure: relaxed

a = 4.3461 Å, b = 4.3461 Å, c = 5.1757 Å
α = 90.00°, β = 90.00°, γ = 90.00°
With the nearest neighbours (Å) after each atom.
Atoms (fractional coordinates):
Li1 0.0000 0.0000 0.0000  4 Bi 3.07, 8 Be 3.38
Be1 0.0000 0.5000 0.5000  2 Rh 2.17
Be2 0.5000 0.0000 0.5000  2 Rh 2.17
Bi1 0.5000 0.5000 0.0000  2 Rh 2.59
Rh1 0.5000 0.5000 0.5000  4 Be 2.17

Computed properties:
* calculated volume: 98 Å³ per cell
* symmetry: P4/mmm (123)
* uncorrected energy: -19.414 eV for the cell shown